[1]
DFT (PBE) results for an optimized crystal structure of PmSmAg2.

The structure in POSCAR format:
```
PmSmAg2
1.0
0.000 3.725 3.725
3.725 0.000 3.725
3.725 3.725 0.000
Pm Sm Ag
1 1 2
Cartesian
0.000 0.000 0.000
3.725 3.725 3.725
1.862 1.862 1.862
5.587 5.587 5.587
```

[2]
DFT (PBE) results for an optimized crystal structure of Pm2SmAg.

The structure in POSCAR format:
```
Pm2SmAg
1.0
5.621 0.000 0.000
0.000 5.621 0.000
0.000 0.000 3.704
Pm Sm Ag
2 1 1
Cartesian
0.000 2.810 0.000
2.810 0.000 0.000
0.000 0.000 1.852
2.810 2.810 1.852
```

[3]
DFT (PBE) results for an optimized crystal structure of Pm2Sm3Ag3.

The structure in POSCAR format:
```
Pm2Sm3Ag3
1.0
-1.882 2.687 10.997
1.882 -2.687 10.997
1.882 2.687 -10.997
Pm Sm Ag
2 3 3
Cartesian
0.000 0.000 5.083
0.000 0.000 16.911
0.000 0.000 0.000
1.882 0.000 8.363
0.000 2.687 2.634
1.882 0.000 2.551
0.000 0.000 10.997
0.000 2.687 8.445
```

[4]
DFT (PBE) results for an optimized crystal structure of PmSm4Ag5.

The structure in POSCAR format:
```
PmSm4Ag5
1.0
3.690 0.000 0.000
0.000 3.690 0.000
0.000 0.000 18.846
Pm Sm Ag
1 4 5
Cartesian
0.000 0.000 0.000
0.000 0.000 3.781
0.000 0.000 7.542
0.000 0.000 11.305
0.000 0.000 15.066
1.845 1.845 1.912
1.845 1.845 5.660
1.845 1.845 9.423
1.845 1.845 13.187
1.845 1.845 16.934
```

Number 1: ΔH_f (0 K) -0.27 eV/atom, size of the total moment 0.0 μB per cell. Number 2: ΔH_f (0 K) -0.01 eV/atom, size of the total moment 0.0 μB per cell. Number 3: ΔH_f (0 K) -0.18 eV/atom, size of the total moment 0.0 μB per cell. Number 4: ΔH_f (0 K) -0.28 eV/atom, size of the total moment 0.0 μB per cell.